{"formula": "BaH4O6", "functional": "PBE", "state": "optimized geometry", "cell": [[-2.158, -1.752, -4.529], [4.092, -1.088, -3.211], [0.440, -8.116, 2.001]], "species": ["Ba", "Ba", "H", "H", "H", "H", "H", "H", "H", "H", "O", "O", "O", "O", "O", "O", "O", "O", "O", "O", "O", "O"], "frac_coords": [[0.787, 0.209, 0.232], [0.209, 0.787, 0.732], [0.270, 0.323, 0.438], [0.673, 0.726, 0.026], [0.726, 0.673, 0.526], [0.323, 0.270, 0.938], [0.359, 0.817, 0.355], [0.817, 0.359, 0.855], [0.179, 0.637, 0.109], [0.637, 0.179, 0.609], [0.188, 0.159, 0.443], [0.837, 0.809, 0.021], [0.809, 0.837, 0.521], [0.159, 0.188, 0.943], [0.330, 0.011, 0.305], [0.984, 0.666, 0.159], [0.666, 0.984, 0.659], [0.011, 0.330, 0.805], [0.384, 0.541, 0.431], [0.454, 0.612, 0.033], [0.612, 0.454, 0.533], [0.541, 0.384, 0.931]], "spacegroup": "C2/c", "e_tot_ev_per_atom": -5.048}

=====

{"formula": "BaH4O6", "functional": "PBE", "state": "optimized geometry", "cell": [[6.227, 0.399, -0.114], [-0.010, 6.736, -0.251], [-1.386, -1.655, 6.935]], "species": ["Ba", "Ba", "H", "H", "H", "H", "H", "H", "H", "H", "O", "O", "O", "O", "O", "O", "O", "O", "O", "O", "O", "O"], "frac_coords": [[0.165, 0.773, 0.657], [0.864, 0.181, 0.217], [0.353, 0.957, 0.239], [0.342, 0.312, 0.320], [0.629, 0.743, 0.392], [0.557, 0.980, 0.701], [0.300, 0.303, 0.550], [0.968, 0.264, 0.694], [0.766, 0.108, 0.594], [0.906, 0.650, 0.154], [0.288, 0.032, 0.133], [0.895, 0.762, 0.279], [0.855, 0.875, 0.883], [0.921, 0.132, 0.592], [0.420, 0.222, 0.199], [0.776, 0.649, 0.375], [0.638, 0.906, 0.882], [0.235, 0.392, 0.466], [0.500, 0.042, 0.584], [0.919, 0.451, 0.990], [0.438, 0.855, 0.421], [0.022, 0.478, 0.857]], "spacegroup": "P1", "e_tot_ev_per_atom": -5.062}

=====

{"formula": "Ba2H2O3", "functional": "PBE", "state": "optimized geometry", "cell": [[-3.221, 2.071, -0.228], [-2.928, -4.392, 1.474], [2.823, 1.581, 6.740]], "species": ["Ba", "Ba", "H", "H", "O", "O", "O"], "frac_coords": [[0.621, 0.941, 0.242], [0.379, 0.059, 0.758], [0.772, 0.443, 0.544], [0.228, 0.557, 0.456], [0.000, 0.000, 0.000], [0.776, 0.267, 0.552], [0.224, 0.733, 0.448]], "spacegroup": "C2/m", "e_tot_ev_per_atom": -5.510}

=====

Number 1: spin magnetization 0.0 μB/cell, excess energy over the best structure of this formula in the dataset 94 meV per atom. Number 2: spin magnetization 2.0 μB/cell, excess energy over the best structure of this formula in the dataset 80 meV per atom. Number 3: spin magnetization 0.1 μB/cell, excess energy over the best structure of this formula in the dataset 99 meV per atom.